The following is a PBE calculation of a relaxed structure of PaSn3, from the Alexandria database.

Computed properties:
* total DFT energy (no corrections): -0.418 Ry/atom
* N(E_F): 4.64 states/eV/f.u.
* energy relative to the lowest polymorph listed for this composition: 0 meV/atom
* total magnetization: 0.00 μB per formula unit
* formation energy from the elements: -1.230 eV/f.u.
* space group: No. 221

a = 4.6448 Å, b = 4.6448 Å, c = 4.6448 Å
α = 90.00°, β = 90.00°, γ = 90.00°
Fractional positions:
Pa (0.0000, 0.0000, 0.0000)
Sn (0.0000, 0.5000, 0.5000)
Sn (0.5000, 0.0000, 0.5000)
Sn (0.5000, 0.5000, 0.0000)

---

The following is a PBE calculation of a relaxed structure of Pa6Sn, from the Alexandria database.

Computed properties:
* total DFT energy (no corrections): -0.524 Ry/atom
* N(E_F): 22.59 states/eV/f.u.
* total magnetization: 7.04 μB per formula unit
* formation energy from the elements: 11.101 eV/f.u.
* space group: No. 229

a = 6.6589 Å, b = 6.6589 Å, c = 6.6589 Å
α = 109.47°, β = 109.47°, γ = 109.47°
Last column: magnetic moment on the atom in μB.
Fractional positions:
Pa (0.2500, 0.7500, 0.5000)  1.12
Pa (0.5000, 0.7500, 0.2500)  1.12
Pa (0.2500, 0.5000, 0.7500)  1.12
Pa (0.7500, 0.2500, 0.5000)  1.12
Pa (0.5000, 0.2500, 0.7500)  1.12
Pa (0.7500, 0.5000, 0.2500)  1.12
Sn (0.0000, 0.0000, 0.0000)  -0.01

---

The following is a PBE calculation of a relaxed structure of Pa8Sn, from the Alexandria database.

Computed properties:
* total DFT energy (no corrections): -0.657 Ry/atom
* N(E_F): 17.50 states/eV/f.u.
* total magnetization: 0.00 μB per formula unit
* formation energy from the elements: -0.484 eV/f.u.
* space group: No. 139

a = 4.5820 Å, b = 7.3655 Å, c = 7.3655 Å
α = 84.45°, β = 71.88°, γ = 71.88°
Fractional positions:
Pa (0.3367, 0.0000, 0.3266)
Pa (0.6633, 0.0000, 0.6734)
Pa (0.6707, 0.3293, 0.3293)
Pa (0.3367, 0.3266, 0.0000)
Pa (0.0000, 0.3293, 0.6707)
Pa (0.6633, 0.6734, 0.0000)
Pa (0.3293, 0.6707, 0.6707)
Pa (0.0000, 0.6707, 0.3293)
Sn (0.0000, 0.0000, 0.0000)

---

The following is a PBE calculation of a relaxed structure of PaSn3, from the Alexandria database.

Computed properties:
* total DFT energy (no corrections): -0.411 Ry/atom
* N(E_F): 4.59 states/eV/f.u.
* energy relative to the lowest polymorph listed for this composition: 85 meV/atom
* total magnetization: 0.00 μB per formula unit
* formation energy from the elements: -0.890 eV/f.u.
* space group: No. 139

a = 4.4652 Å, b = 4.4652 Å, c = 6.0110 Å
α = 111.80°, β = 111.80°, γ = 90.00°
Fractional positions:
Pa (0.0000, 0.0000, 0.0000)
Sn (0.7500, 0.2500, 0.5000)
Sn (0.2500, 0.7500, 0.5000)
Sn (0.5000, 0.5000, 0.0000)

---

The following is a PBE calculation of a relaxed structure of PaSn4, from the Alexandria database.

Computed properties:
* total DFT energy (no corrections): -0.315 Ry/atom
* N(E_F): 9.17 states/eV/f.u.
* total magnetization: 0.56 μB per formula unit
* formation energy from the elements: 4.062 eV/f.u.
* space group: No. 221

a = 5.8569 Å, b = 5.8569 Å, c = 5.8569 Å
α = 90.00°, β = 90.00°, γ = 90.00°
Last column: magnetic moment on the atom in μB.
Fractional positions:
Pa (0.5000, 0.5000, 0.5000)  0.40
Sn (0.0000, 0.0000, 0.0000)  -0.01
Sn (0.5000, 0.0000, 0.5000)  0.04
Sn (0.0000, 0.5000, 0.5000)  0.04
Sn (0.5000, 0.5000, 0.0000)  0.04

---

The following is a PBE calculation of a relaxed structure of PaSn3, from the Alexandria database.

Computed properties:
* total DFT energy (no corrections): -0.406 Ry/atom
* N(E_F): 5.50 states/eV/f.u.
* energy relative to the lowest polymorph listed for this composition: 166 meV/atom
* total magnetization: 0.66 μB per formula unit
* formation energy from the elements: -0.565 eV/f.u.
* space group: No. 44

a = 3.3315 Å, b = 5.6823 Å, c = 6.3893 Å
α = 116.40°, β = 105.11°, γ = 90.00°
Last column: magnetic moment on the atom in μB.
Fractional positions:
Pa (0.0000, 0.0090, 0.0000)  0.54
Sn (0.2539, 0.5820, 0.5078)  0.01
Sn (0.5000, 0.5015, 0.0000)  -0.01
Sn (0.7461, 0.0741, 0.4922)  0.01

---

The following is a PBE calculation of a relaxed structure of Pa2Sn, from the Alexandria database.

Computed properties:
* total DFT energy (no corrections): -0.557 Ry/atom
* N(E_F): 7.05 states/eV/f.u.
* total magnetization: 0.00 μB per formula unit
* formation energy from the elements: 0.241 eV/f.u.
* space group: No. 227

a = 6.0080 Å, b = 6.0080 Å, c = 6.0080 Å
α = 60.00°, β = 60.00°, γ = 60.00°
Fractional positions:
Pa (0.1250, 0.6250, 0.6250)
Pa (0.6250, 0.1250, 0.6250)
Pa (0.6250, 0.6250, 0.6250)
Pa (0.6250, 0.6250, 0.1250)
Sn (0.0000, 0.0000, 0.0000)
Sn (0.2500, 0.2500, 0.2500)

---

The following is a PBE calculation of a relaxed structure of PaSn2, from the Alexandria database.

Computed properties:
* total DFT energy (no corrections): -0.423 Ry/atom
* N(E_F): 4.74 states/eV/f.u.
* energy relative to the lowest polymorph listed for this composition: 333 meV/atom
* total magnetization: 1.41 μB per formula unit
* formation energy from the elements: 0.240 eV/f.u.
* space group: No. 227

a = 6.0265 Å, b = 6.0265 Å, c = 6.0265 Å
α = 60.00°, β = 60.00°, γ = 60.00°
Last column: magnetic moment on the atom in μB.
Fractional positions:
Pa (0.0000, 0.0000, 0.0000)  1.15
Pa (0.2500, 0.2500, 0.2500)  1.15
Sn (0.1250, 0.6250, 0.6250)  -0.03
Sn (0.6250, 0.1250, 0.6250)  -0.03
Sn (0.6250, 0.6250, 0.6250)  -0.03
Sn (0.6250, 0.6250, 0.1250)  -0.03